Computed, not measured: an optimized crystal structure of CrRh2Cl at the GGA-PBE level of DFT.

**Space group**: Immm (71)
**Magnetization**: 0.6660 μB/atom
**Formation energy (no corrections)**: 0.350 eV per atom
**E above lowest polymorph**: 6.61 kcal/mol of atoms
**ρ**: 7840 kg/m³

Geometry as extended XYZ:
```
4
Lattice="5.6236 0.3392 -0.0831 2.9170 4.8198 0.0831 -3.6639 -3.5834 2.3413" Properties=species:S:1:pos:R:3 pbc="T T T"
Rh 4.0209 2.4289 0.0000
Cl 3.1150 -0.3323 1.1291
Cr 1.7617 1.9080 1.2122
Rh 0.2493 0.1506 0.0000
```